1.
The following is a PBE-GGA calculation of crystalline CeSF at its relaxed geometry, from Alexandria via LeMat-Bulk.

The uncorrected formation energy is -2.85 eV per atom. The density of states at the Fermi level comes out at 2.03 states/eV/atom.

The structure belongs to space group P-6m2 (No. 187); the cell edges are 4.0878, 4.0878 and 3.9298 Å and the angles 90.00°, 90.00° and 120.00°. Symmetry generates all atoms from Ce at (0.0000, 0.0000, 0.0000), S at (0.6667, 0.3333, 0.5000) and F at (0.3333, 0.6667, 0.0000).

=====

2.
The following is a PBE-GGA calculation of crystalline CaInTc3 at its relaxed geometry, from Alexandria via LeMat-Bulk.

The density of states at the Fermi level comes out at 1.07 states/eV/atom. The distance to the lowest polymorph of the same formula is 465 meV per atom. The formation energy is 1096 kJ/mol of formula units.

The structure belongs to space group Pm-3m (No. 221); the cell edges are 4.678, 4.678 and 4.678 Å and the angles 90.00°, 90.00° and 90.00°. Symmetry generates all atoms from Ca at (0.000, 0.000, 0.000), In at (0.500, 0.500, 0.500) and Tc at (0.000, 0.000, 0.500).

=====

Q: What is the formula in the second record?
A: CaInTc3